A plane-wave DFT calculation with PBE-GGA was carried out for CrCu2P after structural relaxation.

Summary:
ΔE_f, eV per atom: 0.04
DOS(E_F), states/eV per cell: 2.77
Magnetization, μB/f.u.: 1.255

Unit cell a=3.012 b=3.012 c=5.434 alpha=90.00 beta=90.00 gamma=90.00
Element x y z (fractional)
Cr (0.000, 0.000, 0.000)
Cu (0.000, 0.000, 0.519)
Cu (0.500, 0.500, 0.287)
P (0.500, 0.500, 0.817)

A plane-wave DFT calculation with PBE-GGA was carried out for YScTaCu2 after structural relaxation.

Summary:
ΔE_f, eV per atom: 1.38
DOS(E_F), states/eV per cell: 4.42
Magnetization, μB/f.u.: 0.585

Unit cell a=4.603 b=4.603 c=5.033 alpha=90.00 beta=90.00 gamma=90.00
Element x y z (fractional)
Y (0.000, 0.000, 0.000)
Sc (0.000, 0.000, 0.500)
Ta (0.500, 0.500, 0.000)
Cu (0.000, 0.500, 0.500)
Cu (0.500, 0.000, 0.500)

A plane-wave DFT calculation with PBE-GGA was carried out for Pm2Si3Ni4Pt after structural relaxation.

Summary:
Raw formation energy, eV per formula unit: -7.39
DOS(E_F), states/eV per cell: 6.65
Magnetization, μB/f.u.: 0.000

Unit cell a=4.039 b=4.039 c=9.820 alpha=90.00 beta=90.00 gamma=90.00
Element x y z (fractional)
Pm (0.000, 0.500, 0.249)
Pm (0.500, 0.000, 0.751)
Si (0.000, 0.500, 0.881)
Si (0.500, 0.000, 0.119)
Si (0.500, 0.500, 0.500)
Ni (0.000, 0.000, 0.000)
Ni (0.000, 0.500, 0.647)
Ni (0.500, 0.000, 0.353)
Ni (0.500, 0.500, 0.000)
Pt (0.000, 0.000, 0.500)

A plane-wave DFT calculation with PBE-GGA was carried out for Pr6NdS8 after structural relaxation.

Summary:
Raw formation energy, eV per formula unit: -30.50
DOS(E_F), states/eV per cell: 7.17
Magnetization, μB/f.u.: 0.000

Unit cell a=8.193 b=8.193 c=8.193 alpha=60.00 beta=60.00 gamma=60.00
Element x y z (fractional)
Pr (0.000, 0.000, 0.500)
Pr (0.000, 0.500, 0.000)
Pr (0.000, 0.500, 0.500)
Pr (0.500, 0.000, 0.000)
Pr (0.500, 0.000, 0.500)
Pr (0.500, 0.500, 0.000)
Nd (0.000, 0.000, 0.000)
S (0.248, 0.248, 0.752)
S (0.248, 0.752, 0.248)
S (0.248, 0.752, 0.752)
S (0.250, 0.250, 0.250)
S (0.750, 0.750, 0.750)
S (0.752, 0.248, 0.248)
S (0.752, 0.248, 0.752)
S (0.752, 0.752, 0.248)

A plane-wave DFT calculation with PBE-GGA was carried out for PrYCd after structural relaxation.

Summary:
ΔE_f, eV per atom: -0.10
DOS(E_F), states/eV per cell: 12.57
Magnetization, μB/f.u.: 0.631

Unit cell a=8.231 b=8.231 c=4.776 alpha=90.00 beta=90.00 gamma=120.00
Element x y z (fractional)
Pr (0.000, 0.258, 0.000)
Pr (0.258, 0.000, 0.000)
Pr (0.742, 0.742, 0.000)
Y (0.000, 0.584, 0.500)
Y (0.416, 0.416, 0.500)
Y (0.584, 0.000, 0.500)
Cd (0.000, 0.000, 0.500)
Cd (0.333, 0.667, 0.000)
Cd (0.667, 0.333, 0.000)

A plane-wave DFT calculation with PBE-GGA was carried out for Re3RuI after structural relaxation.

Summary:
Raw formation energy, eV per formula unit: 11.90
DOS(E_F), states/eV per cell: 6.75
Magnetization, μB/f.u.: 1.717

Unit cell a=4.743 b=4.743 c=4.743 alpha=90.00 beta=90.00 gamma=90.00
Element x y z (fractional)
Re (0.000, 0.000, 0.500)
Re (0.000, 0.500, 0.000)
Re (0.500, 0.000, 0.000)
Ru (0.000, 0.000, 0.000)
I (0.500, 0.500, 0.500)

A plane-wave DFT calculation with PBE-GGA was carried out for K2TbCdF6 after structural relaxation.

Summary:
Raw formation energy, eV per formula unit: -29.23
DOS(E_F), states/eV per cell: 3.03
Magnetization, μB/f.u.: 0.594

Unit cell a=6.597 b=6.597 c=6.597 alpha=60.00 beta=60.00 gamma=60.00
Element x y z (fractional)
K (0.250, 0.250, 0.250)
K (0.750, 0.750, 0.750)
Tb (0.000, 0.000, 0.000)
Cd (0.500, 0.500, 0.500)
F (0.235, 0.235, 0.765)
F (0.235, 0.765, 0.235)
F (0.235, 0.765, 0.765)
F (0.765, 0.235, 0.235)
F (0.765, 0.235, 0.765)
F (0.765, 0.765, 0.235)

A plane-wave DFT calculation with PBE-GGA was carried out for SrCaAcPr after structural relaxation.

Summary:
ΔE_f, eV per atom: 0.11
DOS(E_F), states/eV per cell: 3.54
Magnetization, μB/f.u.: 0.000

Unit cell a=6.247 b=6.247 c=6.247 alpha=60.00 beta=60.00 gamma=60.00
Element x y z (fractional)
Sr (0.000, 0.000, 0.000)
Ca (0.250, 0.250, 0.250)
Ac (0.750, 0.750, 0.750)
Pr (0.500, 0.500, 0.500)

A plane-wave DFT calculation with PBE-GGA was carried out for GeAsC3 after structural relaxation.

Summary:
ΔE_f, eV per atom: 2.66
DOS(E_F), states/eV per cell: 3.62
Magnetization, μB/f.u.: 0.001

Unit cell a=3.988 b=3.988 c=3.988 alpha=90.00 beta=90.00 gamma=90.00
Element x y z (fractional)
Ge (0.000, 0.000, 0.000)
As (0.500, 0.500, 0.500)
C (0.000, 0.000, 0.500)
C (0.000, 0.500, 0.000)
C (0.500, 0.000, 0.000)

A plane-wave DFT calculation with PBE-GGA was carried out for Pm3Zn3Au2 after structural relaxation.

Summary:
ΔE_f, eV per atom: -0.44
DOS(E_F), states/eV per cell: 6.50
Magnetization, μB/f.u.: 0.000

Unit cell a=9.708 b=9.708 c=5.173 alpha=104.28 beta=104.28 gamma=23.05
Element x y z (fractional)
Pm (0.000, 0.000, 0.000)
Pm (0.139, 0.139, 0.630)
Pm (0.861, 0.861, 0.370)
Zn (0.370, 0.370, 0.878)
Zn (0.500, 0.500, 0.500)
Zn (0.630, 0.630, 0.122)
Au (0.230, 0.230, 0.214)
Au (0.770, 0.770, 0.786)

A plane-wave DFT calculation with PBE-GGA was carried out for LaSeBr2 after structural relaxation.

Summary:
Raw formation energy, eV per formula unit: -4.47
DOS(E_F), states/eV per cell: 3.01
Magnetization, μB/f.u.: 1.000

Unit cell a=5.313 b=5.313 c=5.313 alpha=60.00 beta=60.00 gamma=60.00
Element x y z (fractional)
La (0.000, 0.000, 0.000)
Se (0.500, 0.500, 0.500)
Br (0.250, 0.250, 0.250)
Br (0.750, 0.750, 0.750)

A plane-wave DFT calculation with PBE-GGA was carried out for Ti3VGe2 after structural relaxation.

Summary:
ΔE_f, eV per atom: 0.00
DOS(E_F), states/eV per cell: 4.04
Magnetization, μB/f.u.: 0.000

Unit cell a=8.011 b=8.011 c=8.011 alpha=159.96 beta=146.02 gamma=39.76
Element x y z (fractional)
Ti (0.000, 0.000, 0.000)
Ti (0.327, 0.827, 0.500)
Ti (0.673, 0.173, 0.500)
V (0.500, 0.000, 0.500)
Ge (0.154, 0.654, 0.500)
Ge (0.846, 0.346, 0.500)

A plane-wave DFT calculation with PBE-GGA was carried out for GaHgPS2 after structural relaxation.

Summary:
Raw formation energy, eV per formula unit: 2.96
DOS(E_F), states/eV per cell: 5.68
Magnetization, μB/f.u.: 0.000

Unit cell a=4.679 b=4.679 c=4.969 alpha=90.00 beta=90.00 gamma=90.00
Element x y z (fractional)
Ga (0.000, 0.000, 0.000)
Hg (0.500, 0.500, 0.500)
P (0.000, 0.000, 0.500)
S (0.000, 0.500, 0.000)
S (0.500, 0.000, 0.000)

A plane-wave DFT calculation with PBE-GGA was carried out for ScTaPd2 after structural relaxation.

Summary:
ΔE_f, eV per atom: -0.46
DOS(E_F), states/eV per cell: 3.92
Magnetization, μB/f.u.: 0.000

Unit cell a=4.893 b=4.893 c=2.894 alpha=90.00 beta=90.00 gamma=90.00
Element x y z (fractional)
Sc (0.000, 0.000, 0.000)
Ta (0.500, 0.500, 0.000)
Pd (0.000, 0.500, 0.500)
Pd (0.500, 0.000, 0.500)

A plane-wave DFT calculation with PBE-GGA was carried out for Ho2ZrSi4Pt3 after structural relaxation.

Summary:
Raw formation energy, eV per formula unit: -9.98
DOS(E_F), states/eV per cell: 3.95
Magnetization, μB/f.u.: 0.000

Unit cell a=4.160 b=4.160 c=10.583 alpha=90.00 beta=90.00 gamma=90.00
Element x y z (fractional)
Ho (0.000, 0.500, 0.237)
Ho (0.500, 0.000, 0.763)
Zr (0.000, 0.000, 0.500)
Si (0.000, 0.000, 0.000)
Si (0.000, 0.500, 0.655)
Si (0.500, 0.000, 0.345)
Si (0.500, 0.500, 0.000)
Pt (0.000, 0.500, 0.882)
Pt (0.500, 0.000, 0.118)
Pt (0.500, 0.500, 0.500)

A plane-wave DFT calculation with PBE-GGA was carried out for Y2ZrTa after structural relaxation.

Summary:
ΔE_f, eV per atom: 0.32
DOS(E_F), states/eV per cell: 5.48
Magnetization, μB/f.u.: 0.000

Unit cell a=5.824 b=5.824 c=5.824 alpha=137.96 beta=127.71 gamma=69.24
Element x y z (fractional)
Y (0.000, 0.000, 0.000)
Y (0.727, 0.227, 0.500)
Zr (0.273, 0.773, 0.500)
Ta (0.468, 0.468, 0.000)

A plane-wave DFT calculation with PBE-GGA was carried out for Hf2ScCu6 after structural relaxation.

Summary:
ΔE_f, eV per atom: 0.00
DOS(E_F), states/eV per cell: 7.01
Magnetization, μB/f.u.: 0.000

Unit cell a=5.393 b=5.393 c=5.580 alpha=90.00 beta=90.00 gamma=120.00
Element x y z (fractional)
Hf (0.333, 0.667, 0.372)
Hf (0.667, 0.333, 0.628)
Sc (0.000, 0.000, 0.500)
Cu (0.182, 0.365, 0.842)
Cu (0.182, 0.818, 0.842)
Cu (0.365, 0.182, 0.158)
Cu (0.635, 0.818, 0.842)
Cu (0.818, 0.182, 0.158)
Cu (0.818, 0.635, 0.158)

A plane-wave DFT calculation with PBE-GGA was carried out for GeTe2WI after structural relaxation.

Summary:
Raw formation energy, eV per formula unit: 4.05
DOS(E_F), states/eV per cell: 4.89
Magnetization, μB/f.u.: 2.302

Unit cell a=5.308 b=5.308 c=5.602 alpha=90.00 beta=90.00 gamma=90.00
Element x y z (fractional)
Ge (0.000, 0.000, 0.000)
Te (0.000, 0.500, 0.500)
Te (0.500, 0.000, 0.500)
W (0.500, 0.500, 0.500)
I (0.500, 0.500, 0.000)

A plane-wave DFT calculation with PBE-GGA was carried out for BeFe2CuSn after structural relaxation.

Summary:
ΔE_f, eV per atom: 0.65
DOS(E_F), states/eV per cell: 6.74
Magnetization, μB/f.u.: 4.725

Unit cell a=4.050 b=4.050 c=4.436 alpha=90.00 beta=90.00 gamma=90.00
Element x y z (fractional)
Be (0.000, 0.000, 0.000)
Fe (0.000, 0.500, 0.000)
Fe (0.500, 0.000, 0.000)
Cu (0.500, 0.500, 0.500)
Sn (0.000, 0.000, 0.500)

A plane-wave DFT calculation with PBE-GGA was carried out for PIrSeCl2 after structural relaxation.

Summary:
Raw formation energy, eV per formula unit: 2.42
DOS(E_F), states/eV per cell: 3.91
Magnetization, μB/f.u.: 0.665

Unit cell a=4.779 b=4.779 c=4.653 alpha=90.00 beta=90.00 gamma=90.00
Element x y z (fractional)
P (0.000, 0.000, 0.000)
Ir (0.000, 0.000, 0.500)
Se (0.500, 0.500, 0.000)
Cl (0.000, 0.500, 0.500)
Cl (0.500, 0.000, 0.500)